# 1
4
Lattice="2.843 0.000 0.000 0.000 4.809 -0.211 -1.421 -1.678 4.503" Properties=species:S:1:pos:R:3 comment="AlAg2Ru (PBEsol, relaxed)" n_ef_per_ev_cell=2.59 dft_energy_ev_per_cell=-20.52 m_tot_mub_per_atom=0.0829 sg="Cm (8)" pbc="T T T"
Ru 0.000 2.434 1.988
Al 1.421 2.768 -0.099
Ag 0.000 0.267 -0.005
Ag 1.421 0.066 2.303

***

# 2
4
Lattice="-1.992 -2.175 -0.820 2.005 -2.154 0.843 -2.479 0.023 5.957" Properties=species:S:1:pos:R:3 comment="AlAg2Ru (PBEsol, relaxed)" n_ef_per_ev_cell=2.52 dft_energy_ev_per_cell=-20.98 m_tot_mub_per_atom=0.0000 sg="P4mm (99)" pbc="T T T"
Ru -1.773 -2.148 4.288
Al -1.308 0.012 3.144
Ag -2.454 0.023 5.898
Ag -0.648 -2.159 1.584

***

# 3
4
Lattice="-0.517 2.528 1.019 -0.034 -1.043 2.571 7.780 1.333 0.642" Properties=species:S:1:pos:R:3 comment="AlAg2Ru (PBEsol, relaxed)" n_ef_per_ev_cell=2.54 dft_energy_ev_per_cell=-19.64 m_tot_mub_per_atom=0.2953 sg="P4/mmm (123)" pbc="T T T"
Ru 3.615 1.409 2.116
Al -0.275 0.743 1.795
Ag 5.898 1.010 0.487
Ag 1.883 0.322 0.155

***

What did the first record say?
4
Lattice="2.843 0.000 0.000 0.000 4.809 -0.211 -1.421 -1.678 4.503" Properties=species:S:1:pos:R:3 comment="AlAg2Ru (PBEsol, relaxed)" n_ef_per_ev_cell=2.59 dft_energy_ev_per_cell=-20.52 m_tot_mub_per_atom=0.0829 sg="Cm (8)" pbc="T T T"
Ru 0.000 2.434 1.988
Al 1.421 2.768 -0.099
Ag 0.000 0.267 -0.005
Ag 1.421 0.066 2.303